w.
Entry from Alexandria via LeMat-Bulk: a relaxed structure of Nb2TlS (PBE).

Summary:
- Crystal system: tetragonal

```
8
Lattice="4.5542 0.0000 0.0000 0.0000 4.5542 0.0000 2.2771 2.2771 8.8457" Properties=species:S:1:pos:R:3 pbc="T T T"
Nb 3.4157 3.9870 6.6343
Nb 5.6928 5.1214 6.6343
Nb 2.8443 1.1386 2.2114
Nb 1.7099 3.4157 2.2114
S 2.2771 4.5542 4.4229
S 2.2771 2.2771 0.0000
Tl 0.0000 0.0000 0.0000
Tl 4.5542 2.2771 4.4229
```



x.
Entry from Alexandria via LeMat-Bulk: a relaxed structure of Nb2TlS (PBE).

Summary:
- Crystal system: cubic

```
4
Lattice="0.0000 3.3063 3.3063 3.3063 0.0000 3.3063 3.3063 3.3063 0.0000" Properties=species:S:1:pos:R:3 pbc="T T T"
Tl 3.3063 3.3063 3.3063
S 0.0000 0.0000 0.0000
Nb 4.9594 4.9594 4.9594
Nb 1.6531 1.6531 1.6531
```



Result of the stability comparison: w is the least stable of them.